# 1
Below is a relaxed DyZnAs2O8 crystal, with properties calculated at the PBE level.

Cell: 5.892 5.892 5.892 Å, 106.75 106.75 115.06°
Atoms (fractional coordinates):
Dy 0.000 0.000 0.000
Zn 0.250 0.750 0.500
As 0.500 0.500 0.000
As 0.750 0.250 0.500
O 0.322 0.135 0.813
O 0.322 0.509 0.187
O 0.389 0.073 0.316
O 0.491 0.678 0.813
O 0.756 0.073 0.684
O 0.865 0.678 0.187
O 0.927 0.244 0.316
O 0.927 0.611 0.684

Results
- total magnetic moment (μB/cell) = 1.072
- raw formation energy (eV/atom) = -1.601
- calculated total energy (eV per cell) = -74.05

# 2
Below is a relaxed DyZn2AsO6 crystal, with properties calculated at the PBE level.

Cell: 7.073 7.073 6.708 Å, 109.91 109.91 74.24°
Atoms (fractional coordinates):
Dy 0.226 0.774 0.750
Dy 0.774 0.226 0.250
Zn 0.283 0.342 0.857
Zn 0.342 0.283 0.357
Zn 0.658 0.717 0.643
Zn 0.717 0.658 0.143
As 0.156 0.844 0.250
As 0.844 0.156 0.750
O 0.080 0.140 0.717
O 0.140 0.080 0.217
O 0.201 0.659 0.019
O 0.250 0.445 0.611
O 0.341 0.799 0.481
O 0.445 0.250 0.111
O 0.555 0.750 0.889
O 0.659 0.201 0.519
O 0.750 0.555 0.389
O 0.799 0.341 0.981
O 0.860 0.920 0.783
O 0.920 0.860 0.283

Results
- total magnetic moment (μB/cell) = 0.000
- raw formation energy (eV/atom) = -1.843
- calculated total energy (eV per cell) = -119.96

# 3
Below is a relaxed Dy2AsP crystal, with properties calculated at the PBE level.

Cell: 7.272 7.272 7.272 Å, 32.15 32.15 32.15°
Atoms (fractional coordinates):
Dy 0.000 0.000 0.000
Dy 0.176 0.176 0.176
As 0.420 0.420 0.420
P 0.589 0.589 0.589

Results
- total magnetic moment (μB/cell) = 0.000
- ΔE_f (eV per atom) = -1.426
- calculated total energy (eV per cell) = -24.97